(1)
Material: Y3Mg3ZnAu2
Method: DFT, PBE
State: optimized geometry

a = 7.641 Å, b = 7.641 Å, c = 4.076 Å
α = 90.00°, β = 90.00°, γ = 120.00°
Sites, in units of the cell vectors:
Y: 0.000 0.589 0.000
Y: 0.411 0.411 0.000
Y: 0.589 0.000 0.000
Mg: 0.000 0.247 0.500
Mg: 0.247 0.000 0.500
Mg: 0.753 0.753 0.500
Zn: 0.000 0.000 0.000
Au: 0.333 0.667 0.500
Au: 0.667 0.333 0.500

Computed properties:
total magnetic moment	0.019	μB/f.u.
electronic total energy	-4.10	eV per atom
volume	206.1	Å³ per cell

=====

(2)
Material: CsGdPbS3
Method: DFT, PBE
State: optimized geometry

a = 9.200 Å, b = 9.200 Å, c = 11.706 Å
α = 90.00°, β = 90.00°, γ = 154.29°
Sites, in units of the cell vectors:
Cs: 0.177 0.823 0.750
Cs: 0.823 0.177 0.250
Gd: 0.500 0.500 0.000
Gd: 0.500 0.500 0.500
Pb: 0.099 0.901 0.250
Pb: 0.901 0.099 0.750
S: 0.102 0.898 0.007
S: 0.102 0.898 0.493
S: 0.496 0.504 0.250
S: 0.504 0.496 0.750
S: 0.898 0.102 0.507
S: 0.898 0.102 0.993

Computed properties:
total magnetic moment	0.007	μB/f.u.
electronic total energy	-4.88	eV per atom
volume	429.7	Å³ per cell

=====

(3)
Material: ErAs2
Method: DFT, PBE
State: optimized geometry

a = 8.883 Å, b = 8.883 Å, c = 8.883 Å
α = 60.00°, β = 60.00°, γ = 60.00°
Sites, in units of the cell vectors:
Er: 0.125 0.125 0.125
Er: 0.875 0.875 0.875
As: 0.000 0.000 0.000
As: 0.000 0.000 0.500
As: 0.000 0.500 0.000
As: 0.500 0.000 0.000

Computed properties:
total magnetic moment	0.024	μB/f.u.
electronic total energy	-4.05	eV per atom
volume	495.6	Å³ per cell

=====

(4)
Material: Rb2ErAgF6
Method: DFT, PBE
State: optimized geometry

a = 6.248 Å, b = 6.248 Å, c = 6.248 Å
α = 60.00°, β = 60.00°, γ = 60.00°
Sites, in units of the cell vectors:
Rb: 0.250 0.250 0.250
Rb: 0.750 0.750 0.750
Er: 0.000 0.000 0.000
Ag: 0.500 0.500 0.500
F: 0.238 0.238 0.762
F: 0.238 0.762 0.238
F: 0.238 0.762 0.762
F: 0.762 0.238 0.238
F: 0.762 0.238 0.762
F: 0.762 0.762 0.238

Computed properties:
total magnetic moment	0.000	μB/f.u.
electronic total energy	-4.98	eV per atom
volume	172.5	Å³ per cell

=====

(5)
Material: BaLiDySe3
Method: DFT, PBE
State: optimized geometry

a = 10.740 Å, b = 4.262 Å, c = 14.066 Å
α = 90.00°, β = 90.00°, γ = 90.00°
Sites, in units of the cell vectors:
Ba: 0.247 0.250 0.003
Ba: 0.253 0.750 0.503
Ba: 0.747 0.250 0.497
Ba: 0.753 0.750 0.997
Li: 0.247 0.750 0.779
Li: 0.253 0.250 0.279
Li: 0.747 0.750 0.721
Li: 0.753 0.250 0.221
Dy: 0.004 0.750 0.251
Dy: 0.496 0.250 0.751
Dy: 0.504 0.750 0.249
Dy: 0.996 0.250 0.749
Se: 0.056 0.750 0.882
Se: 0.063 0.250 0.383
Se: 0.247 0.250 0.681
Se: 0.253 0.750 0.181
Se: 0.437 0.750 0.883
Se: 0.444 0.250 0.382
Se: 0.556 0.750 0.618
Se: 0.563 0.250 0.117
Se: 0.747 0.250 0.819
Se: 0.753 0.750 0.319
Se: 0.937 0.750 0.617
Se: 0.944 0.250 0.118

Computed properties:
total magnetic moment	0.004	μB/f.u.
electronic total energy	-4.98	eV per atom
volume	643.8	Å³ per cell

=====

(6)
Material: Ac2ZnPd6
Method: DFT, PBE
State: optimized geometry

a = 5.947 Å, b = 5.947 Å, c = 5.971 Å
α = 90.00°, β = 90.00°, γ = 120.00°
Sites, in units of the cell vectors:
Ac: 0.333 0.667 0.193
Ac: 0.667 0.333 0.807
Zn: 0.000 0.000 0.000
Pd: 0.172 0.345 0.688
Pd: 0.172 0.828 0.688
Pd: 0.345 0.172 0.312
Pd: 0.655 0.828 0.688
Pd: 0.828 0.172 0.312
Pd: 0.828 0.655 0.312

Computed properties:
total magnetic moment	0.007	μB/f.u.
E_form	-753	meV per atom
electronic total energy	-5.26	eV per atom
volume	182.9	Å³ per cell

=====

(7)
Material: NaGaNiSn
Method: DFT, PBE
State: optimized geometry

a = 6.667 Å, b = 6.667 Å, c = 6.667 Å
α = 90.00°, β = 90.00°, γ = 90.00°
Sites, in units of the cell vectors:
Na: 0.000 0.000 0.000
Na: 0.000 0.500 0.500
Na: 0.500 0.000 0.500
Na: 0.500 0.500 0.000
Ga: 0.250 0.250 0.750
Ga: 0.250 0.750 0.250
Ga: 0.750 0.250 0.250
Ga: 0.750 0.750 0.750
Ni: 0.250 0.250 0.250
Ni: 0.250 0.750 0.750
Ni: 0.750 0.250 0.750
Ni: 0.750 0.750 0.250
Sn: 0.000 0.000 0.500
Sn: 0.000 0.500 0.000
Sn: 0.500 0.000 0.000
Sn: 0.500 0.500 0.500

Computed properties:
total magnetic moment	0.003	μB/f.u.
electronic total energy	-3.36	eV per atom
volume	296.4	Å³ per cell

=====

(8)
Material: TaBeTe
Method: DFT, PBE
State: optimized geometry

a = 6.308 Å, b = 6.308 Å, c = 6.308 Å
α = 90.00°, β = 90.00°, γ = 90.00°
Sites, in units of the cell vectors:
Ta: 0.000 0.000 0.000
Ta: 0.000 0.500 0.500
Ta: 0.500 0.000 0.500
Ta: 0.500 0.500 0.000
Be: 0.250 0.250 0.750
Be: 0.250 0.750 0.250
Be: 0.750 0.250 0.250
Be: 0.750 0.750 0.750
Te: 0.250 0.250 0.250
Te: 0.250 0.750 0.750
Te: 0.750 0.250 0.750
Te: 0.750 0.750 0.250

Computed properties:
total magnetic moment	0.001	μB/f.u.
electronic total energy	-5.38	eV per atom
volume	251.0	Å³ per cell

=====

(9)
Material: HfTaPO
Method: DFT, PBE
State: optimized geometry

a = 3.402 Å, b = 5.852 Å, c = 6.154 Å
α = 90.00°, β = 90.00°, γ = 90.00°
Sites, in units of the cell vectors:
Hf: 0.000 0.080 0.000
Hf: 0.000 0.920 0.500
Ta: 0.500 0.393 0.670
Ta: 0.500 0.607 0.170
P: 0.000 0.334 0.369
P: 0.000 0.666 0.869
O: 0.500 0.276 0.994
O: 0.500 0.724 0.494

Computed properties:
total magnetic moment	0.002	μB/f.u.
electronic total energy	-9.56	eV per atom
volume	122.5	Å³ per cell

=====

(10)
Material: LiHfZrAu
Method: DFT, PBE
State: optimized geometry

a = 6.722 Å, b = 6.722 Å, c = 6.722 Å
α = 90.00°, β = 90.00°, γ = 90.00°
Sites, in units of the cell vectors:
Li: 0.000 0.000 0.000
Li: 0.000 0.500 0.500
Li: 0.500 0.000 0.500
Li: 0.500 0.500 0.000
Hf: 0.000 0.000 0.500
Hf: 0.000 0.500 0.000
Hf: 0.500 0.000 0.000
Hf: 0.500 0.500 0.500
Zr: 0.250 0.250 0.250
Zr: 0.250 0.750 0.750
Zr: 0.750 0.250 0.750
Zr: 0.750 0.750 0.250
Au: 0.250 0.250 0.750
Au: 0.250 0.750 0.250
Au: 0.750 0.250 0.250
Au: 0.750 0.750 0.750

Computed properties:
total magnetic moment	2.054	μB/f.u.
electronic total energy	-5.89	eV per atom
volume	303.7	Å³ per cell

=====

(11)
Material: LuBeTcW
Method: DFT, PBE
State: optimized geometry

a = 6.344 Å, b = 6.344 Å, c = 6.344 Å
α = 90.00°, β = 90.00°, γ = 90.00°
Sites, in units of the cell vectors:
Lu: 0.000 0.000 0.000
Lu: 0.000 0.500 0.500
Lu: 0.500 0.000 0.500
Lu: 0.500 0.500 0.000
Be: 0.250 0.250 0.750
Be: 0.250 0.750 0.250
Be: 0.750 0.250 0.250
Be: 0.750 0.750 0.750
Tc: 0.250 0.250 0.250
Tc: 0.250 0.750 0.750
Tc: 0.750 0.250 0.750
Tc: 0.750 0.750 0.250
W: 0.000 0.000 0.500
W: 0.000 0.500 0.000
W: 0.500 0.000 0.000
W: 0.500 0.500 0.500

Computed properties:
total magnetic moment	0.001	μB/f.u.
electronic total energy	-7.77	eV per atom
volume	255.3	Å³ per cell

=====

(12)
Material: RbZrCuF7
Method: DFT, PBE
State: optimized geometry

a = 6.285 Å, b = 6.285 Å, c = 7.933 Å
α = 90.00°, β = 90.00°, γ = 118.13°
Sites, in units of the cell vectors:
Rb: 0.000 0.000 0.000
Rb: 0.000 0.000 0.500
Zr: 0.312 0.688 0.750
Zr: 0.688 0.312 0.250
Cu: 0.310 0.690 0.250
Cu: 0.690 0.310 0.750
F: 0.037 0.339 0.250
F: 0.058 0.330 0.750
F: 0.301 0.699 0.007
F: 0.301 0.699 0.493
F: 0.330 0.058 0.250
F: 0.339 0.037 0.750
F: 0.500 0.500 0.250
F: 0.500 0.500 0.750
F: 0.661 0.963 0.250
F: 0.670 0.942 0.750
F: 0.699 0.301 0.507
F: 0.699 0.301 0.993
F: 0.942 0.670 0.250
F: 0.963 0.661 0.750

Computed properties:
total magnetic moment	1.001	μB/f.u.
electronic total energy	-5.47	eV per atom
volume	276.3	Å³ per cell

=====

(13)
Material: DyNpTl
Method: DFT, PBE
State: optimized geometry

a = 7.353 Å, b = 7.353 Å, c = 7.353 Å
α = 90.00°, β = 90.00°, γ = 90.00°
Sites, in units of the cell vectors:
Dy: 0.000 0.000 0.000
Dy: 0.000 0.500 0.500
Dy: 0.500 0.000 0.500
Dy: 0.500 0.500 0.000
Np: 0.000 0.000 0.500
Np: 0.000 0.500 0.000
Np: 0.500 0.000 0.000
Np: 0.500 0.500 0.500
Tl: 0.250 0.250 0.250
Tl: 0.250 0.750 0.750
Tl: 0.750 0.250 0.750
Tl: 0.750 0.750 0.250

Computed properties:
total magnetic moment	5.312	μB/f.u.
electronic total energy	-6.05	eV per atom
volume	397.6	Å³ per cell

=====

(14)
Material: Na4CuGe2Pt
Method: DFT, PBE
State: optimized geometry

a = 4.700 Å, b = 4.700 Å, c = 6.614 Å
α = 90.00°, β = 90.00°, γ = 90.00°
Sites, in units of the cell vectors:
Na: 0.000 0.000 0.000
Na: 0.000 0.500 0.744
Na: 0.500 0.000 0.256
Na: 0.500 0.500 0.500
Cu: 0.000 0.000 0.500
Ge: 0.000 0.500 0.237
Ge: 0.500 0.000 0.763
Pt: 0.500 0.500 0.000

Computed properties:
total magnetic moment	0.003	μB/f.u.
electronic total energy	-3.07	eV per atom
volume	146.1	Å³ per cell

=====

(15)
Material: LuMgCdAg
Method: DFT, PBE
State: optimized geometry

a = 6.966 Å, b = 6.966 Å, c = 6.966 Å
α = 90.00°, β = 90.00°, γ = 90.00°
Sites, in units of the cell vectors:
Lu: 0.000 0.000 0.000
Lu: 0.000 0.500 0.500
Lu: 0.500 0.000 0.500
Lu: 0.500 0.500 0.000
Mg: 0.250 0.250 0.750
Mg: 0.250 0.750 0.250
Mg: 0.750 0.250 0.250
Mg: 0.750 0.750 0.750
Cd: 0.250 0.250 0.250
Cd: 0.250 0.750 0.750
Cd: 0.750 0.250 0.750
Cd: 0.750 0.750 0.250
Ag: 0.000 0.000 0.500
Ag: 0.000 0.500 0.000
Ag: 0.500 0.000 0.000
Ag: 0.500 0.500 0.500

Computed properties:
total magnetic moment	0.001	μB/f.u.
electronic total energy	-2.58	eV per atom
volume	338.0	Å³ per cell

=====

(16)
Material: Er5Al
Method: DFT, PBE
State: optimized geometry

a = 6.249 Å, b = 6.249 Å, c = 5.665 Å
α = 90.00°, β = 90.00°, γ = 120.00°
Sites, in units of the cell vectors:
Er: 0.000 0.500 0.000
Er: 0.333 0.667 0.500
Er: 0.500 0.000 0.000
Er: 0.500 0.500 0.000
Er: 0.667 0.333 0.500
Al: 0.000 0.000 0.500

Computed properties:
total magnetic moment	0.636	μB/f.u.
electronic total energy	-3.88	eV per atom
volume	191.6	Å³ per cell

=====

(17)
Material: Y4Si3Mo2C3
Method: DFT, PBE
State: optimized geometry

a = 5.877 Å, b = 5.877 Å, c = 13.849 Å
α = 102.35°, β = 102.35°, γ = 60.62°
Sites, in units of the cell vectors:
Y: 0.043 0.194 0.106
Y: 0.121 0.299 0.394
Y: 0.194 0.043 0.606
Y: 0.299 0.121 0.894
Y: 0.701 0.879 0.106
Y: 0.806 0.957 0.394
Y: 0.879 0.701 0.606
Y: 0.957 0.806 0.894
Si: 0.181 0.819 0.250
Si: 0.346 0.414 0.752
Si: 0.414 0.346 0.252
Si: 0.586 0.654 0.748
Si: 0.654 0.586 0.248
Si: 0.819 0.181 0.750
Mo: 0.347 0.525 0.077
Mo: 0.475 0.653 0.423
Mo: 0.525 0.347 0.577
Mo: 0.653 0.475 0.923
C: 0.000 0.500 0.000
C: 0.199 0.650 0.500
C: 0.350 0.801 0.000
C: 0.500 0.000 0.500
C: 0.650 0.199 0.000
C: 0.801 0.350 0.500

Computed properties:
total magnetic moment	0.004	μB/f.u.
electronic total energy	-8.11	eV per atom
volume	403.7	Å³ per cell

=====

(18)
Material: Cu7Ag3
Method: DFT, PBE
State: optimized geometry

a = 5.760 Å, b = 5.760 Å, c = 8.990 Å
α = 99.53°, β = 99.53°, γ = 27.68°
Sites, in units of the cell vectors:
Cu: 0.000 0.000 0.000
Cu: 0.108 0.108 0.293
Cu: 0.211 0.211 0.597
Cu: 0.309 0.309 0.903
Cu: 0.691 0.691 0.097
Cu: 0.789 0.789 0.403
Cu: 0.892 0.892 0.707
Ag: 0.395 0.395 0.198
Ag: 0.500 0.500 0.500
Ag: 0.605 0.605 0.802

Computed properties:
E_form	83	meV per atom
electronic total energy	-3.37	eV per atom
volume	136.6	Å³ per cell

=====

(19)
Material: Dy2AuSe3
Method: DFT, PBE
State: optimized geometry

a = 7.776 Å, b = 3.954 Å, c = 18.304 Å
α = 90.00°, β = 90.00°, γ = 90.00°
Sites, in units of the cell vectors:
Dy: 0.039 0.250 0.200
Dy: 0.224 0.750 0.502
Dy: 0.276 0.250 0.002
Dy: 0.461 0.750 0.700
Dy: 0.539 0.250 0.300
Dy: 0.724 0.750 0.998
Dy: 0.776 0.250 0.498
Dy: 0.961 0.750 0.800
Au: 0.068 0.250 0.604
Au: 0.432 0.750 0.104
Au: 0.568 0.250 0.896
Au: 0.932 0.750 0.396
Se: 0.049 0.750 0.082
Se: 0.177 0.250 0.392
Se: 0.194 0.250 0.740
Se: 0.306 0.750 0.240
Se: 0.323 0.750 0.892
Se: 0.451 0.250 0.582
Se: 0.549 0.750 0.418
Se: 0.677 0.250 0.108
Se: 0.694 0.250 0.760
Se: 0.806 0.750 0.260
Se: 0.823 0.750 0.608
Se: 0.951 0.250 0.918

Computed properties:
total magnetic moment	0.001	μB/f.u.
electronic total energy	-5.16	eV per atom
volume	562.8	Å³ per cell

=====

(20)
Material: RbNaPuTe3
Method: DFT, PBE
State: optimized geometry

a = 8.255 Å, b = 8.255 Å, c = 12.001 Å
α = 90.00°, β = 90.00°, γ = 146.98°
Sites, in units of the cell vectors:
Rb: 0.238 0.762 0.750
Rb: 0.762 0.238 0.250
Na: 0.053 0.947 0.250
Na: 0.947 0.053 0.750
Pu: 0.500 0.500 0.000
Pu: 0.500 0.500 0.500
Te: 0.128 0.872 0.025
Te: 0.128 0.872 0.475
Te: 0.441 0.559 0.250
Te: 0.559 0.441 0.750
Te: 0.872 0.128 0.525
Te: 0.872 0.128 0.975

Computed properties:
total magnetic moment	3.987	μB/f.u.
electronic total energy	-5.21	eV per atom
volume	445.6	Å³ per cell

=====

(21)
Material: KPrRe
Method: DFT, PBE
State: optimized geometry

a = 7.110 Å, b = 7.110 Å, c = 7.110 Å
α = 90.00°, β = 90.00°, γ = 90.00°
Sites, in units of the cell vectors:
K: 0.000 0.000 0.000
K: 0.000 0.500 0.500
K: 0.500 0.000 0.500
K: 0.500 0.500 0.000
Pr: 0.250 0.250 0.250
Pr: 0.250 0.750 0.750
Pr: 0.750 0.250 0.750
Pr: 0.750 0.750 0.250
Re: 0.000 0.000 0.500
Re: 0.000 0.500 0.000
Re: 0.500 0.000 0.000
Re: 0.500 0.500 0.500

Computed properties:
total magnetic moment	1.143	μB/f.u.
electronic total energy	-4.27	eV per atom
volume	359.4	Å³ per cell

=====

(22)
Material: BaWN3
Method: DFT, PBE
State: optimized geometry

a = 7.595 Å, b = 5.763 Å, c = 10.216 Å
α = 90.00°, β = 131.12°, γ = 90.00°
Sites, in units of the cell vectors:
Ba: 0.210 0.240 0.371
Ba: 0.210 0.260 0.871
Ba: 0.790 0.740 0.129
Ba: 0.790 0.760 0.629
W: 0.342 0.740 0.639
W: 0.342 0.760 0.139
W: 0.658 0.240 0.861
W: 0.658 0.260 0.361
N: 0.082 0.564 0.571
N: 0.082 0.936 0.071
N: 0.292 0.741 0.941
N: 0.292 0.759 0.441
N: 0.371 0.063 0.708
N: 0.371 0.437 0.208
N: 0.629 0.563 0.792
N: 0.629 0.937 0.292
N: 0.708 0.241 0.559
N: 0.708 0.259 0.059
N: 0.918 0.064 0.929
N: 0.918 0.436 0.429

Computed properties:
total magnetic moment	0.002	μB/f.u.
electronic total energy	-8.58	eV per atom
volume	336.9	Å³ per cell